No. 1
{"formula": "TbNdY2N4", "functional": "PBE", "state": "optimized geometry", "formation_energy_uncorrected_ev_per_atom": -1.585, "lattice_angstrom": [[-0.101, -2.568, -2.418], [-2.699, -3.702, 4.045], [-4.270, 3.084, -3.098]], "species": ["Tb", "Y", "Y", "N", "N", "N", "N", "Nd"], "fractional_positions": [[0.000, 0.000, 0.000], [0.500, 0.000, 0.500], [0.000, 0.500, 0.500], [0.500, 0.753, 0.746], [0.000, 0.243, 0.743], [0.500, 0.247, 0.254], [0.000, 0.757, 0.257], [0.500, 0.500, 0.000]]}

***

No. 2
{"formula": "TbNdYN3", "functional": "PBE", "state": "optimized geometry", "formation_energy_uncorrected_ev_per_atom": -1.372, "lattice_angstrom": [[3.517, 0.000, 0.000], [0.000, 6.066, 0.302], [0.000, -2.279, 8.867]], "species": ["N", "N", "N", "N", "N", "N", "Nd", "Nd", "Tb", "Tb", "Y", "Y"], "fractional_positions": [[0.250, 0.461, 0.833], [0.750, 0.247, 0.505], [0.250, 0.965, 0.846], [0.750, 0.035, 0.154], [0.250, 0.753, 0.495], [0.750, 0.539, 0.167], [0.250, 0.341, 0.300], [0.750, 0.659, 0.700], [0.750, 0.847, 0.360], [0.250, 0.153, 0.640], [0.250, 0.769, 0.044], [0.750, 0.231, 0.956]]}

***

No. 3
{"formula": "TbNdZrN3", "functional": "PBE", "state": "optimized geometry", "formation_energy_uncorrected_ev_per_atom": -1.309, "lattice_angstrom": [[-2.218, 2.296, 0.945], [-3.711, -4.621, 2.521], [4.937, 1.375, 8.251]], "species": ["N", "N", "N", "N", "N", "N", "Zr", "Zr", "Nd", "Nd", "Tb", "Tb"], "fractional_positions": [[0.250, 0.844, 0.580], [0.750, 0.398, 0.110], [0.750, 0.861, 0.167], [0.250, 0.139, 0.833], [0.250, 0.602, 0.890], [0.750, 0.156, 0.420], [0.250, 0.655, 0.105], [0.750, 0.345, 0.895], [0.250, 0.164, 0.217], [0.750, 0.836, 0.783], [0.250, 0.208, 0.575], [0.750, 0.792, 0.425]]}

***

No. 4
{"formula": "TbNd2ZrN4", "functional": "PBE", "state": "optimized geometry", "formation_energy_uncorrected_ev_per_atom": -1.530, "lattice_angstrom": [[-2.246, 2.108, 1.630], [-2.898, 0.948, -5.220], [-2.476, -4.811, 2.809]], "species": ["N", "N", "N", "N", "Nd", "Nd", "Tb", "Zr"], "fractional_positions": [[0.500, 0.231, 0.224], [0.000, 0.244, 0.771], [0.500, 0.769, 0.776], [0.000, 0.756, 0.229], [0.000, 0.500, 0.500], [0.500, 0.000, 0.500], [0.500, 0.500, 0.000], [0.000, 0.000, 0.000]]}

***

No. 5
{"formula": "NdTc2N3", "functional": "PBE", "state": "optimized geometry", "formation_energy_uncorrected_ev_per_atom": -0.401, "lattice_angstrom": [[3.357, 0.000, 0.000], [0.000, 3.964, 0.000], [0.000, 0.000, 12.082]], "species": ["N", "N", "N", "N", "N", "N", "Nd", "Nd", "Tc", "Tc", "Tc", "Tc"], "fractional_positions": [[0.000, 0.500, 0.662], [0.001, 0.500, 0.000], [0.000, 0.000, 0.162], [0.000, 0.500, 0.338], [0.999, 0.000, 0.500], [0.000, 0.000, 0.838], [0.500, 0.000, 0.000], [0.500, 0.500, 0.500], [0.000, 0.500, 0.832], [0.000, 0.500, 0.168], [0.000, 0.000, 0.332], [0.000, 0.000, 0.668]]}

***

No. 6
{"formula": "Nd2TcN5", "functional": "PBE", "state": "optimized geometry", "formation_energy_uncorrected_ev_per_atom": -0.072, "lattice_angstrom": [[3.958, 0.000, 0.000], [-1.979, 6.266, 0.000], [0.000, 0.000, 11.135]], "species": ["Tc", "Tc", "Nd", "Nd", "Nd", "Nd", "N", "N", "N", "N", "N", "N", "N", "N", "N", "N"], "fractional_positions": [[0.134, 0.268, 0.250], [0.866, 0.732, 0.750], [0.148, 0.297, 0.928], [0.852, 0.703, 0.072], [0.148, 0.297, 0.572], [0.852, 0.703, 0.428], [0.953, 0.905, 0.874], [0.733, 0.467, 0.898], [0.733, 0.467, 0.602], [0.047, 0.095, 0.374], [0.267, 0.533, 0.398], [0.698, 0.397, 0.250], [0.047, 0.095, 0.126], [0.953, 0.905, 0.626], [0.302, 0.603, 0.750], [0.267, 0.533, 0.102]]}

***

No. 7
{"formula": "NdTcN3", "functional": "PBE", "state": "optimized geometry", "formation_energy_uncorrected_ev_per_atom": -0.423, "lattice_angstrom": [[5.144, -0.121, -0.121], [0.294, 7.565, -0.310], [0.294, -0.319, 7.565]], "species": ["N", "N", "N", "N", "N", "N", "N", "N", "N", "N", "N", "N", "Tc", "Tc", "Tc", "Tc", "Nd", "Nd", "Nd", "Nd"], "fractional_positions": [[0.018, 0.907, 0.864], [0.518, 0.864, 0.907], [0.149, 0.270, 0.458], [0.482, 0.136, 0.093], [0.477, 0.849, 0.300], [0.982, 0.093, 0.136], [0.023, 0.700, 0.151], [0.523, 0.151, 0.700], [0.977, 0.300, 0.849], [0.851, 0.730, 0.542], [0.649, 0.458, 0.270], [0.351, 0.542, 0.730], [0.750, 0.685, 0.315], [0.750, 0.084, 0.916], [0.250, 0.916, 0.084], [0.250, 0.315, 0.685], [0.812, 0.622, 0.841], [0.312, 0.841, 0.622], [0.688, 0.159, 0.378], [0.188, 0.378, 0.159]]}

***

No. 8
{"formula": "Nd2Tc2N7", "functional": "PBE", "state": "optimized geometry", "formation_energy_uncorrected_ev_per_atom": -0.284, "lattice_angstrom": [[6.131, 0.406, 1.053], [0.442, 5.144, -0.411], [0.668, -0.413, 6.185]], "species": ["N", "N", "N", "N", "N", "N", "N", "Tc", "Tc", "Nd", "Nd"], "fractional_positions": [[0.907, 0.713, 0.391], [0.388, 0.787, 0.612], [0.612, 0.213, 0.388], [0.609, 0.713, 0.093], [0.093, 0.287, 0.609], [0.391, 0.287, 0.907], [0.000, 0.000, 0.000], [0.779, 0.900, 0.221], [0.221, 0.100, 0.779], [0.697, 0.500, 0.697], [0.303, 0.500, 0.303]]}

***

no.,magnetization (μB/cell)
1,0.00
2,0.00
3,0.82
4,0.00
5,0.00
6,0.26
7,1.35
8,1.01